1.
Compound: ScSiAu
Source: Alexandria via LeMat-Bulk
Functional: SCAN
Structure: PBEsol geometry

```
ScSiAu
1.0
4.206 0.000 0.000
-2.103 3.643 0.000
0.000 0.000 6.727
Sc Si Au
2 2 2
Cartesian
0.000 0.000 0.000 Sc
0.000 0.000 3.364 Sc
2.103 1.214 1.401 Si
2.103 1.214 5.326 Si
0.000 2.428 1.907 Au
0.000 2.428 4.820 Au
```

Results
The uncorrected formation energy is -0.9409 eV per atom.

=====

2.
Compound: ScSn2Au2
Source: Alexandria via LeMat-Bulk
Functional: SCAN
Structure: PBEsol geometry

```
ScSn2Au2
1.0
-2.107 2.107 6.236
2.107 -2.107 6.236
2.107 2.107 -6.236
Sc Sn Au
1 2 2
Cartesian
0.000 0.000 0.000 Sc
2.107 0.000 3.118 Sn
0.000 2.107 3.118 Sn
0.000 0.000 4.945 Au
0.000 0.000 7.526 Au
```

Results
The formation energy from the elements comes out at -0.301 eV per atom.

=====

3.
Compound: Sc2SnAu2
Source: Alexandria via LeMat-Bulk
Functional: SCAN
Structure: PBEsol geometry

```
Sc2SnAu2
1.0
7.496 0.000 0.000
0.000 7.496 0.000
0.000 0.000 6.986
Sc Sn Au
8 4 8
Cartesian
1.109 1.109 0.000 Sc
1.411 1.411 3.493 Sc
2.337 5.159 0.000 Sc
2.639 4.857 3.493 Sc
4.857 2.639 3.493 Sc
5.159 2.337 0.000 Sc
6.085 6.085 3.493 Sc
6.387 6.387 0.000 Sc
0.000 3.748 1.746 Sn
0.000 3.748 5.239 Sn
3.748 0.000 1.746 Sn
3.748 0.000 5.239 Sn
0.976 6.520 2.023 Au
0.976 6.520 4.963 Au
2.772 2.772 1.470 Au
2.772 2.772 5.516 Au
4.724 4.724 1.470 Au
4.724 4.724 5.516 Au
6.520 0.976 2.023 Au
6.520 0.976 4.963 Au
```

Results
Its offset from the most stable computed form is 0.000 eV/atom. The formation energy from the elements comes out at -1.000 eV per atom.

=====

4.
Compound: Sc2SnAu2
Source: Alexandria via LeMat-Bulk
Functional: SCAN
Structure: PBEsol geometry

```
Sc2SnAu2
1.0
7.542 0.000 0.000
0.000 7.542 0.000
0.000 0.000 3.472
Sc Sn Au
4 2 4
Cartesian
1.265 2.506 0.000 Sc
2.506 6.278 0.000 Sc
5.036 1.265 0.000 Sc
6.278 5.036 0.000 Sc
0.000 0.000 1.736 Sn
3.771 3.771 1.736 Sn
0.978 4.749 1.736 Au
2.793 0.978 1.736 Au
4.749 6.564 1.736 Au
6.564 2.793 1.736 Au
```

Results
Its offset from the most stable computed form is 0.019 eV/atom. The formation energy from the elements comes out at -0.981 eV per atom.

=====

5.
Compound: SrSc2Au
Source: Alexandria via LeMat-Bulk
Functional: SCAN
Structure: PBEsol geometry

```
SrSc2Au
1.0
3.597 0.000 0.000
0.000 4.569 0.000
-1.758 0.000 6.257
Sr Sc Au
1 2 1
Cartesian
0.000 0.000 0.000 Sr
0.116 2.284 4.358 Sc
1.722 2.284 1.899 Sc
-0.879 0.000 3.129 Au
```

Results
The formation energy from the elements comes out at -0.187 eV per atom.

=====

6.
Compound: SrSc3Au
Source: Alexandria via LeMat-Bulk
Functional: SCAN
Structure: PBEsol geometry

```
SrSc3Au
1.0
4.920 0.000 0.000
0.000 4.920 0.000
0.000 0.000 4.920
Sr Sc Au
1 3 1
Cartesian
0.000 0.000 0.000 Sr
0.000 0.000 2.460 Sc
0.000 2.460 0.000 Sc
2.460 0.000 0.000 Sc
2.460 2.460 2.460 Au
```

Results
The formation energy from the elements comes out at 1.345 eV per atom.

=====

7.
Compound: Sr2ScWAu
Source: Alexandria via LeMat-Bulk
Functional: SCAN
Structure: PBEsol geometry

```
Sr2ScWAu
1.0
5.735 0.000 0.000
0.000 5.735 0.000
0.000 0.000 4.962
Sr Sc W Au
2 1 1 1
Cartesian
0.000 2.868 0.000 Sr
2.868 0.000 0.000 Sr
0.000 0.000 2.481 Sc
2.868 2.868 2.481 W
2.868 2.868 0.000 Au
```

Results
The formation energy from the elements comes out at 0.865 eV per atom.

=====

8.
Compound: ScTaAu2
Source: Alexandria via LeMat-Bulk
Functional: SCAN
Structure: PBEsol geometry

```
ScTaAu2
1.0
3.027 0.000 0.000
0.000 3.027 0.000
0.000 0.000 7.887
Sc Ta Au
1 1 2
Cartesian
0.000 0.000 0.000 Sc
1.514 1.514 2.118 Ta
0.000 0.000 3.978 Au
1.514 1.514 5.969 Au
```

Results
Its offset from the most stable computed form is 0.100 eV/atom. The formation energy from the elements comes out at -0.344 eV per atom.

=====

9.
Compound: ScTaAu2
Source: Alexandria via LeMat-Bulk
Functional: SCAN
Structure: PBEsol geometry

```
ScTaAu2
1.0
4.897 0.000 0.000
0.000 4.897 0.000
0.000 0.000 2.981
Sc Ta Au
1 1 2
Cartesian
0.000 0.000 0.000 Sc
2.449 2.449 0.000 Ta
0.000 2.449 1.490 Au
2.449 0.000 1.490 Au
```

Results
Its offset from the most stable computed form is 0.000 eV/atom. The formation energy from the elements comes out at -0.444 eV per atom.

=====

10.
Compound: ScTaAu2
Source: Alexandria via LeMat-Bulk
Functional: SCAN
Structure: PBEsol geometry

```
ScTaAu2
1.0
0.000 3.299 3.299
3.299 0.000 3.299
3.299 3.299 0.000
Sc Ta Au
1 1 2
Cartesian
0.000 0.000 0.000 Sc
3.299 3.299 3.299 Ta
1.650 1.650 1.650 Au
4.949 4.949 4.949 Au
```

Results
Its offset from the most stable computed form is 0.058 eV/atom. The formation energy from the elements comes out at -0.386 eV per atom.

=====

11.
Compound: Sc2TcAu
Source: Alexandria via LeMat-Bulk
Functional: SCAN
Structure: PBEsol geometry

```
Sc2TcAu
1.0
0.000 3.251 3.251
3.251 0.000 3.251
3.251 3.251 0.000
Sc Tc Au
2 1 1
Cartesian
1.626 1.626 1.626 Sc
4.877 4.877 4.877 Sc
0.000 0.000 0.000 Tc
3.251 3.251 3.251 Au
```

Results
Its offset from the most stable computed form is 0.000 eV/atom. The formation energy from the elements comes out at -0.686 eV per atom.

=====

12.
Compound: ScTc2Au
Source: Alexandria via LeMat-Bulk
Functional: SCAN
Structure: PBEsol geometry

```
ScTc2Au
1.0
3.825 0.000 0.000
0.000 3.825 0.000
0.000 0.000 4.272
Sc Tc Au
1 2 1
Cartesian
0.000 0.000 0.000 Sc
0.000 1.913 2.136 Tc
1.913 0.000 2.136 Tc
1.913 1.913 0.000 Au
```

Results
Its offset from the most stable computed form is 0.000 eV/atom. The formation energy from the elements comes out at -0.185 eV per atom.

=====

13.
Compound: ScTcAu
Source: Alexandria via LeMat-Bulk
Functional: SCAN
Structure: PBEsol geometry

```
ScTcAu
1.0
0.000 3.066 3.066
3.066 0.000 3.066
3.066 3.066 0.000
Sc Tc Au
1 1 1
Cartesian
0.000 0.000 0.000 Sc
4.599 4.599 4.599 Tc
1.533 1.533 1.533 Au
```

Results
The formation energy from the elements comes out at 0.501 eV per atom.

=====

14.
Compound: Sc2TcAu
Source: Alexandria via LeMat-Bulk
Functional: SCAN
Structure: PBEsol geometry

```
Sc2TcAu
1.0
1.538 0.888 9.315
-1.538 0.888 9.315
0.000 -1.776 9.315
Sc Tc Au
2 1 1
Cartesian
0.000 0.000 2.720 Sc
0.000 0.000 25.225 Sc
0.000 0.000 13.973 Tc
0.000 0.000 0.000 Au
```

Results
Its offset from the most stable computed form is 0.688 eV/atom. The formation energy from the elements comes out at 0.001 eV per atom.

=====

15.
Compound: ScTc2Au
Source: Alexandria via LeMat-Bulk
Functional: SCAN
Structure: PBEsol geometry

```
ScTc2Au
1.0
2.859 0.000 0.000
0.000 4.307 0.000
0.000 0.000 5.362
Sc Tc Au
1 2 1
Cartesian
0.000 0.000 0.000 Sc
1.429 2.154 1.137 Tc
1.429 2.154 4.225 Tc
0.000 0.000 2.681 Au
```

Results
Its offset from the most stable computed form is 0.268 eV/atom. The formation energy from the elements comes out at 0.083 eV per atom.

=====

16.
Compound: ScTe2Au
Source: Alexandria via LeMat-Bulk
Functional: SCAN
Structure: PBEsol geometry

```
ScTe2Au
1.0
2.088 1.206 8.276
-2.088 1.206 8.276
0.000 -2.412 8.276
Sc Te Au
1 2 1
Cartesian
0.000 0.000 0.000 Sc
0.000 0.000 9.865 Te
0.000 0.000 14.962 Te
0.000 0.000 12.414 Au
```

Results
The uncorrected formation energy is -0.7979 eV per atom.

=====

17.
Compound: ScTeAu4
Source: Alexandria via LeMat-Bulk
Functional: SCAN
Structure: PBEsol geometry

```
ScTeAu4
1.0
0.000 3.887 3.887
3.887 0.000 3.887
3.887 3.887 0.000
Sc Te Au
1 1 4
Cartesian
0.000 0.000 0.000 Sc
1.944 1.944 1.944 Te
4.861 2.913 2.913 Au
2.913 4.861 2.913 Au
2.913 2.913 4.861 Au
4.861 4.861 4.861 Au
```

Results
The uncorrected formation energy is -0.3166 eV per atom.

=====

18.
Compound: Sc2TeAu
Source: Alexandria via LeMat-Bulk
Functional: SCAN
Structure: PBEsol geometry

```
Sc2TeAu
1.0
-1.866 2.187 5.054
1.866 -2.187 5.054
1.866 2.187 -5.054
Sc Te Au
2 1 1
Cartesian
0.000 0.000 0.000 Sc
0.000 2.187 2.370 Sc
1.866 0.000 2.736 Te
0.000 0.000 5.102 Au
```

Results
The uncorrected formation energy is -0.8605 eV per atom.

=====

19.
Compound: ScTe2Au
Source: Alexandria via LeMat-Bulk
Functional: SCAN
Structure: PBEsol geometry

```
ScTe2Au
1.0
2.124 -2.497 0.000
2.124 2.497 0.000
0.000 0.000 9.283
Sc Te Au
1 2 1
Cartesian
0.000 0.000 0.000 Sc
0.000 0.000 3.812 Te
2.124 0.000 7.239 Te
2.124 0.000 1.687 Au
```

Results
The uncorrected formation energy is -0.5359 eV per atom.

=====

20.
Compound: ScTe2Au
Source: Alexandria via LeMat-Bulk
Functional: SCAN
Structure: PBEsol geometry

```
ScTe2Au
1.0
3.960 0.000 0.000
0.000 1.951 6.278
0.000 -1.951 6.278
Sc Te Au
1 2 1
Cartesian
0.000 0.000 0.000 Sc
0.000 0.000 8.527 Te
1.980 0.000 5.188 Te
1.980 0.000 2.311 Au
```

Results
The uncorrected formation energy is -0.8678 eV per atom.

=====

Number 1: calculated total energy -32.078 eV/atom, total magnetization 0.000 μB per formula unit. Number 2: calculated total energy -45.180 eV/atom, total magnetization 0.000 μB per formula unit. Number 3: calculated total energy -41.542 eV/atom, total magnetization 0.000 μB per formula unit. Number 4: calculated total energy -41.523 eV/atom, total magnetization 0.000 μB per formula unit. Number 5: calculated total energy -30.163 eV/atom, total magnetization 0.000 μB per formula unit. Number 6: calculated total energy -25.483 eV/atom, total magnetization 0.000 μB per formula unit. Number 7: calculated total energy -38.661 eV/atom, total magnetization 1.512 μB per formula unit. Number 8: calculated total energy -55.127 eV/atom, total magnetization 0.000 μB per formula unit. Number 9: calculated total energy -55.228 eV/atom, total magnetization 0.000 μB per formula unit. Number 10: calculated total energy -55.169 eV/atom, total magnetization 0.001 μB per formula unit. Number 11: calculated total energy -33.859 eV/atom, total magnetization 0.000 μB per formula unit. Number 12: calculated total energy -38.563 eV/atom, total magnetization 0.000 μB per formula unit. Number 13: calculated total energy -38.984 eV/atom, total magnetization 1.869 μB per formula unit. Number 14: calculated total energy -33.171 eV/atom, total magnetization 0.000 μB per formula unit. Number 15: calculated total energy -38.296 eV/atom, total magnetization 0.000 μB per formula unit. Number 16: calculated total energy -40.272 eV/atom, total magnetization 0.000 μB per formula unit. Number 17: calculated total energy -55.003 eV/atom, total magnetization 0.000 μB per formula unit. Number 18: calculated total energy -34.581 eV/atom, total magnetization 0.000 μB per formula unit. Number 19: calculated total energy -40.010 eV/atom, total magnetization 0.000 μB per formula unit. Number 20: calculated total energy -40.342 eV/atom, total magnetization 0.000 μB per formula unit.